1.
Entry from Alexandria: crystalline Re2IrSe at its relaxed geometry (GGA-PBE).

abc: 5.629 5.629 6.792
angles: 65.52 65.52 90.00
Element x y z (fractional)
Se 0.250 0.750 0.500
Ir 0.000 0.000 0.000
Ir 0.750 0.250 0.500
Re 0.875 0.881 0.750
Se 0.500 0.500 0.000
Re 0.375 0.369 0.750
Re 0.631 0.125 0.250
Re 0.119 0.625 0.250

Output
Its uncorrected formation energy is 0.92 eV/atom. The calculation puts the total energy at -33.55 eV per formula unit. The space group is No. 122. The calculation puts the density of states at the Fermi level at 1.03 states/eV/atom. As for the size of the total moment: 0.00 μB per formula unit.



2.
Entry from Alexandria: crystalline Re2IrSe at its relaxed geometry (GGA-PBE).

abc: 2.772 2.772 9.442
angles: 90.00 90.00 118.60
Element x y z (fractional)
Re 0.500 0.500 0.237
Re 0.000 0.000 0.003
Ir 0.500 0.500 0.763
Se 0.000 0.000 0.497

Output
Its uncorrected formation energy is 0.58 eV/atom. The calculation puts the total energy at -34.91 eV per formula unit. The space group is No. 35. The calculation puts the density of states at the Fermi level at 0.70 states/eV/atom. As for the size of the total moment: 0.00 μB per formula unit.



3.
Entry from Alexandria: crystalline ReIrSe2 at its relaxed geometry (GGA-PBE).

abc: 6.649 5.826 2.721
angles: 62.16 114.14 131.78
Element x y z (fractional)
Se 0.000 0.000 0.000
Ir 0.000 0.500 0.500
Se 0.500 0.000 0.500
Re 0.500 0.500 0.000

Output
Its uncorrected formation energy is 0.67 eV/atom. The calculation puts the total energy at -25.58 eV per formula unit. The space group is No. 65. The calculation puts the density of states at the Fermi level at 0.94 states/eV/atom. The offset from the most stable computed form comes out at 543 meV per atom. As for the size of the total moment: 0.00 μB per formula unit.



4.
Entry from Alexandria: crystalline ReIr2Se at its relaxed geometry (GGA-PBE).

abc: 4.606 4.606 4.606
angles: 126.57 126.57 78.95
Element x y z (fractional)
Ir 0.250 0.750 0.500
Se 0.750 0.250 0.500
Ir 0.000 0.000 0.000
Re 0.500 0.500 0.000

Output
Its uncorrected formation energy is 0.56 eV/atom. The calculation puts the total energy at -31.41 eV per formula unit. The space group is No. 119. The calculation puts the density of states at the Fermi level at 0.73 states/eV/atom. As for the size of the total moment: 0.00 μB per formula unit.



5.
Entry from Alexandria: crystalline ReIrSe2 at its relaxed geometry (GGA-PBE).

abc: 5.577 5.577 6.772
angles: 65.69 65.69 90.00
Element x y z (fractional)
Ir 0.750 0.250 0.500
Se 0.128 0.625 0.250
Se 0.875 0.872 0.750
Re 0.500 0.500 0.000
Se 0.622 0.125 0.250
Re 0.250 0.750 0.500
Se 0.375 0.378 0.750
Ir 0.000 0.000 0.000

Output
Its uncorrected formation energy is 0.50 eV/atom. The calculation puts the total energy at -26.30 eV per formula unit. The space group is No. 122. The calculation puts the density of states at the Fermi level at 0.75 states/eV/atom. The offset from the most stable computed form comes out at 364 meV per atom. As for the size of the total moment: 0.00 μB per formula unit.



6.
Entry from Alexandria: crystalline ReIr2Se at its relaxed geometry (GGA-PBE).

abc: 8.693 8.693 8.693
angles: 18.98 18.98 18.98
Element x y z (fractional)
Se 0.752 0.752 0.752
Ir 0.002 0.002 0.002
Re 0.498 0.498 0.498
Ir 0.247 0.247 0.247

Output
Its uncorrected formation energy is 0.33 eV/atom. The calculation puts the total energy at -32.32 eV per formula unit. The space group is No. 160. The calculation puts the density of states at the Fermi level at 1.48 states/eV/atom. As for the size of the total moment: 0.00 μB per formula unit.



7.
Entry from Alexandria: crystalline ReIr2Se at its relaxed geometry (GGA-PBE).

abc: 2.778 2.778 9.463
angles: 90.00 90.00 120.27
Element x y z (fractional)
Ir 0.500 0.500 0.254
Se 0.500 0.500 0.752
Re 0.000 0.000 0.490
Ir 0.000 0.000 0.004

Output
Its uncorrected formation energy is 0.63 eV/atom. The calculation puts the total energy at -31.12 eV per formula unit. The space group is No. 35. The calculation puts the density of states at the Fermi level at 1.48 states/eV/atom. As for the size of the total moment: 0.00 μB per formula unit.



8.
Entry from Alexandria: crystalline ReIrSe2 at its relaxed geometry (GGA-PBE).

abc: 5.160 5.160 5.160
angles: 136.47 136.47 63.25
Element x y z (fractional)
Se 0.000 0.000 0.000
Se 0.250 0.750 0.500
Re 0.750 0.250 0.500
Ir 0.500 0.500 0.000

Output
Its uncorrected formation energy is 0.85 eV/atom. The calculation puts the total energy at -24.87 eV per formula unit. The space group is No. 119. The calculation puts the density of states at the Fermi level at 1.30 states/eV/atom. The offset from the most stable computed form comes out at 720 meV per atom. As for the size of the total moment: 0.05 μB per formula unit.



9.
Entry from Alexandria: crystalline ReIr2Se at its relaxed geometry (GGA-PBE).

abc: 4.794 4.794 4.794
angles: 131.08 131.08 71.68
Element x y z (fractional)
Se 0.750 0.250 0.500
Ir 0.000 0.000 0.000
Re 0.250 0.750 0.500
Ir 0.500 0.500 0.000

Output
Its uncorrected formation energy is 0.58 eV/atom. The calculation puts the total energy at -31.34 eV per formula unit. The space group is No. 139. The calculation puts the density of states at the Fermi level at 0.96 states/eV/atom. As for the size of the total moment: 0.00 μB per formula unit.



10.
Entry from Alexandria: crystalline ReIrSe2 at its relaxed geometry (GGA-PBE).

abc: 2.853 2.853 10.205
angles: 90.00 90.00 119.63
Element x y z (fractional)
Re 0.500 0.500 0.737
Ir 0.000 0.000 0.519
Se 0.000 0.000 0.952
Se 0.500 0.500 0.293

Output
Its uncorrected formation energy is 0.53 eV/atom. The calculation puts the total energy at -26.15 eV per formula unit. The space group is No. 35. The calculation puts the density of states at the Fermi level at 1.15 states/eV/atom. The offset from the most stable computed form comes out at 401 meV per atom. As for the size of the total moment: 0.00 μB per formula unit.



11.
Entry from Alexandria: crystalline ReIr2Se at its relaxed geometry (GGA-PBE).

abc: 5.464 5.464 5.464
angles: 149.29 131.79 58.25
Element x y z (fractional)
Ir 0.031 0.031 0.000
Se 0.262 0.762 0.500
Ir 0.731 0.231 0.500
Re 0.476 0.476 0.000

Output
Its uncorrected formation energy is 0.50 eV/atom. The calculation puts the total energy at -31.67 eV per formula unit. The space group is No. 44. The calculation puts the density of states at the Fermi level at 0.98 states/eV/atom. As for the size of the total moment: 0.00 μB per formula unit.



12.
Entry from Alexandria: crystalline ReIr2Se at its relaxed geometry (GGA-PBE).

abc: 2.821 2.821 7.831
angles: 90.00 90.00 90.00
Element x y z (fractional)
Ir 0.000 0.000 0.481
Se 0.500 0.500 0.750
Re 0.500 0.500 0.250
Ir 0.000 0.000 0.019

Output
Its uncorrected formation energy is 0.18 eV/atom. The calculation puts the total energy at -32.92 eV per formula unit. The space group is No. 123. The calculation puts the density of states at the Fermi level at 0.77 states/eV/atom. As for the size of the total moment: 0.00 μB per formula unit.



13.
Entry from Alexandria: crystalline ReIr2Se at its relaxed geometry (GGA-PBE).

abc: 3.844 2.822 6.331
angles: 63.88 90.00 90.00
Element x y z (fractional)
Ir 0.000 0.980 0.017
Ir 0.000 0.520 0.483
Se 0.500 0.750 0.750
Re 0.500 0.250 0.250

Output
Its uncorrected formation energy is 0.35 eV/atom. The calculation puts the total energy at -32.25 eV per formula unit. The space group is No. 10. The calculation puts the density of states at the Fermi level at 0.74 states/eV/atom. As for the size of the total moment: 0.00 μB per formula unit.



14.
Entry from Alexandria: crystalline ReIr2Se at its relaxed geometry (GGA-PBE).

abc: 5.309 5.309 5.309
angles: 148.32 129.20 61.11
Element x y z (fractional)
Ir 0.486 0.486 0.000
Re 0.750 0.250 0.500
Se 0.250 0.750 0.500
Ir 0.014 0.014 0.000

Output
Its uncorrected formation energy is 0.48 eV/atom. The calculation puts the total energy at -31.74 eV per formula unit. The space group is No. 71. The calculation puts the density of states at the Fermi level at 0.96 states/eV/atom. As for the size of the total moment: 0.00 μB per formula unit.



15.
Entry from Alexandria: crystalline ReIrSe2 at its relaxed geometry (GGA-PBE).

abc: 2.905 2.905 8.906
angles: 90.00 90.00 90.00
Element x y z (fractional)
Se 0.000 0.000 0.914
Ir 0.000 0.000 0.534
Re 0.500 0.500 0.736
Se 0.500 0.500 0.316

Output
Its uncorrected formation energy is 0.13 eV/atom. The calculation puts the total energy at -27.75 eV per formula unit. The space group is No. 99. The calculation puts the density of states at the Fermi level at 0.32 states/eV/atom. The offset from the most stable computed form comes out at 0 meV per atom. As for the size of the total moment: 0.00 μB per formula unit.